Density functional theory data (PBE) for crystalline Pr2Ga2Pd5Au at its relaxed geometry.

Results
The value obtained for the formation energy from the elements is -0.635 eV per atom. As for the symmetry: No. 127.

a = 10.074 Å, b = 10.074 Å, c = 3.745 Å
α = 90.00°, β = 90.00°, γ = 90.00°
Element x y z (fractional)
Pr  0.180  0.320  0.000
Pr  0.320  0.820  0.000
Pr  0.680  0.180  0.000
Pr  0.820  0.680  0.000
Ga  0.119  0.619  0.000
Ga  0.381  0.119  0.000
Ga  0.619  0.881  0.000
Ga  0.881  0.381  0.000
Pd  0.000  0.500  0.500
Pd  0.059  0.793  0.500
Pd  0.207  0.059  0.500
Pd  0.293  0.559  0.500
Pd  0.441  0.293  0.500
Pd  0.500  0.000  0.500
Pd  0.559  0.707  0.500
Pd  0.707  0.441  0.500
Pd  0.793  0.941  0.500
Pd  0.941  0.207  0.500
Au  0.000  0.000  0.000
Au  0.500  0.500  0.000

---

Density functional theory data (PBE) for crystalline GaPdPtAu at its relaxed geometry.

Results
The value obtained for the formation energy from the elements is -0.317 eV per atom. As for the symmetry: No. 216.

a = 4.494 Å, b = 4.494 Å, c = 4.494 Å
α = 60.00°, β = 60.00°, γ = 60.00°
Element x y z (fractional)
Ga  0.000  0.000  0.000
Pd  0.750  0.750  0.750
Pt  0.250  0.250  0.250
Au  0.500  0.500  0.500

---

The records above give, respectively, total magnetization values of 0.0; 0.0 Bohr magnetons per cell.